# 1
## SmMgTeAuS2 (GGA-PBE)

Data for a relaxed structure of SmMgTeAuS2.

electronic total energy	-54.14	eV per cell

Cell lengths 7.1638, 7.1638, 10.9809 Å; angles 90.00, 90.00, 148.74 degrees
Positions (direct):
Te: 0.8671 0.1329 0.2500
Mg: 0.8116 0.1884 0.7500
Sm: 0.0000 0.0000 0.5000
Sm: 0.0000 0.0000 0.0000
Mg: 0.1884 0.8116 0.2500
S: 0.6361 0.3639 0.0806
Au: 0.5131 0.4869 0.2500
Te: 0.1329 0.8671 0.7500
S: 0.3639 0.6361 0.9194
S: 0.6361 0.3639 0.4194
Au: 0.4869 0.5131 0.7500
S: 0.3639 0.6361 0.5806

# 2
## SmMgTe2AuS (GGA-PBE)

Data for a relaxed structure of SmMgTe2AuS.

electronic total energy	-50.01	eV per cell

Cell lengths 7.3514, 7.3514, 10.6133 Å; angles 90.00, 90.00, 147.51 degrees
Positions (direct):
Te: 0.1601 0.8399 0.9288
S: 0.4007 0.5993 0.7500
Te: 0.8399 0.1601 0.0712
Au: 0.9802 0.0198 0.2500
Mg: 0.7786 0.2214 0.7500
Sm: 0.5000 0.5000 0.0000
S: 0.5993 0.4007 0.2500
Te: 0.8399 0.1601 0.4288
Au: 0.0198 0.9802 0.7500
Mg: 0.2214 0.7786 0.2500
Sm: 0.5000 0.5000 0.5000
Te: 0.1601 0.8399 0.5712

# 3
## TbMgAuS3 (GGA-PBE)

Data for a relaxed structure of TbMgAuS3.

electronic total energy	-57.07	eV per cell

Cell lengths 6.5729, 6.5729, 10.5059 Å; angles 90.00, 90.00, 146.93 degrees
Positions (direct):
Mg: 0.7300 0.2700 0.7500
Tb: 0.5000 0.5000 0.0000
Au: 0.0220 0.9780 0.7500
Mg: 0.2700 0.7300 0.2500
Au: 0.9780 0.0220 0.2500
S: 0.1493 0.8507 0.9283
S: 0.3809 0.6191 0.7500
S: 0.1493 0.8507 0.5717
Tb: 0.5000 0.5000 0.5000
S: 0.6191 0.3809 0.2500
S: 0.8507 0.1493 0.4283
S: 0.8507 0.1493 0.0717